No. 1
SrVAsO6, optimized geometry, DFT PBE with a Hubbard U; VASP energy = -6.80 eV/atom; M_tot = 0.0 Bohr magnetons per cell; density of states at the Fermi level = 0.000 states/eV/f.u.
1.0
5.033 0.000 0.000
-2.516 4.358 0.000
0.000 0.000 10.841
Sr V As O
2 2 2 12
Direct
0.000 0.000 0.000
0.000 0.000 0.500
0.333 0.667 0.250
0.667 0.333 0.750
0.333 0.667 0.750
0.667 0.333 0.250
0.006 0.391 0.652
0.006 0.615 0.848
0.385 0.391 0.848
0.385 0.994 0.652
0.391 0.006 0.152
0.391 0.385 0.348
0.609 0.615 0.652
0.609 0.994 0.848
0.615 0.006 0.348
0.615 0.609 0.152
0.994 0.385 0.152
0.994 0.609 0.348

=====

No. 2
SrVAsO5, optimized geometry, DFT PBE with a Hubbard U; VASP energy = -6.89 eV/atom; M_tot = 4.0 Bohr magnetons per cell
1.0
3.492 -4.637 0.000
3.492 4.637 0.000
-2.809 0.000 6.690
Sr V As O
2 2 2 10
Direct
0.173 0.827 0.750
0.827 0.173 0.250
0.500 0.500 0.000
0.500 0.500 0.500
0.184 0.816 0.250
0.816 0.184 0.750
0.107 0.251 0.921
0.183 0.606 0.385
0.251 0.107 0.421
0.394 0.817 0.115
0.436 0.564 0.750
0.564 0.436 0.250
0.606 0.183 0.885
0.749 0.893 0.579
0.817 0.394 0.615
0.893 0.749 0.079

=====

No. 3
SrV2AsO8, optimized geometry, DFT PBE with a Hubbard U; VASP energy = -6.96 eV/atom; M_tot = 0.0 Bohr magnetons per cell; density of states at the Fermi level = 4.301 states/eV/f.u.
1.0
4.284 -2.845 0.000
4.284 2.845 0.000
-0.273 0.000 7.273
Sr V As O
1 2 1 8
Direct
0.000 0.000 0.000
0.368 0.368 0.713
0.632 0.632 0.287
0.000 0.000 0.500
0.217 0.745 0.694
0.222 0.222 0.538
0.255 0.783 0.306
0.293 0.293 0.923
0.707 0.707 0.077
0.745 0.217 0.694
0.778 0.778 0.462
0.783 0.255 0.306

=====

No. 4
SrAs2WO8, optimized geometry, DFT PBE with a Hubbard U; VASP energy = -6.49 eV/atom; M_tot = 2.0 Bohr magnetons per cell; density of states at the Fermi level = 3.598 states/eV/f.u.
1.0
5.524 0.000 0.000
-2.762 4.784 0.000
0.000 0.000 7.150
Sr As W O
1 2 1 8
Direct
0.000 0.000 0.000
0.333 0.667 0.235
0.667 0.333 0.765
0.000 0.000 0.500
0.163 0.326 0.313
0.163 0.837 0.313
0.326 0.163 0.687
0.333 0.667 0.001
0.667 0.333 0.999
0.674 0.837 0.313
0.837 0.163 0.687
0.837 0.674 0.687